No. 1
VASP calculation (PBE) on a relaxed TbErZn4 crystal.

Cell: 3.735 3.800 9.692 Å, 90.17 90.08 90.00°
Space group P-1 (No. 2)
Asymmetric unit:
Tb: 0.000 0.000 0.000 (multiplicity 1)
Er: 0.500 0.500 0.500 (multiplicity 1)
Zn: 0.000 0.500 0.251 (multiplicity 2)
Zn: 0.500 0.000 0.253 (multiplicity 2)

Output
- Energy above the lowest structure with this stoichiometry: 0.395 eV per atom
- V: 137.6 Å³/f.u.
- Crystal system: triclinic
- Final energy: -2.36 eV/atom

=====

No. 2
VASP calculation (PBE) on a relaxed Tb3Er2Zn3 crystal.

Cell: 3.595 5.183 21.361 Å, 90.00 90.00 90.00°
Space group Immm (No. 71)
Asymmetric unit:
Tb: 0.000 0.000 0.000 (multiplicity 2)
Tb: 0.000 0.500 0.119 (multiplicity 4)
Er: 0.000 0.000 0.229 (multiplicity 4)
Zn: 0.000 0.000 0.500 (multiplicity 2)
Zn: 0.000 0.500 0.383 (multiplicity 4)

Output
- V: 199.0 Å³/f.u.
- Crystal system: orthorhombic
- Final energy: -3.60 eV/atom

=====

No. 3
VASP calculation (PBE) on a relaxed Tb4ErZn4 crystal.

Cell: 8.720 8.720 6.165 Å, 90.00 90.00 90.00°
Space group P4_2/n (No. 86, origin choice 2)
Asymmetric unit:
Tb: 0.032 0.658 0.148 (multiplicity 8)
Er: 0.250 0.250 0.250 (multiplicity 2)
Zn: 0.026 0.633 0.615 (multiplicity 8)

Output
- V: 234.4 Å³/f.u.
- Crystal system: tetragonal
- Final energy: -3.20 eV/atom

=====

No. 4
VASP calculation (PBE) on a relaxed TbErZn crystal.

Cell: 3.565 3.565 12.126 Å, 90.00 90.00 90.00°
Space group I4mm (No. 107)
Asymmetric unit:
Tb: 0.000 0.000 0.000 (multiplicity 2)
Er: 0.000 0.000 0.289 (multiplicity 2)
Zn: 0.000 0.000 0.648 (multiplicity 2)

Output
- Energy above the lowest structure with this stoichiometry: 0.000 eV per atom
- V: 77.0 Å³/f.u.
- Crystal system: tetragonal
- Final energy: -3.70 eV/atom

=====

No. 5
VASP calculation (PBE) on a relaxed Tb8Er2Zn crystal.

Cell: 18.908 5.499 6.404 Å, 90.00 92.93 90.00°
Space group C2/m (No. 12)
Asymmetric unit:
Tb: 0.041 0.000 0.252 (multiplicity 4)
Tb: 0.079 0.500 0.605 (multiplicity 4)
Tb: 0.156 0.500 0.118 (multiplicity 4)
Tb: 0.157 0.000 0.810 (multiplicity 4)
Er: 0.238 0.000 0.332 (multiplicity 4)
Zn: 0.000 0.500 0.000 (multiplicity 2)

Output
- V: 332.5 Å³/f.u.
- Crystal system: monoclinic
- Final energy: -4.34 eV/atom

=====

No. 6
VASP calculation (PBE) on a relaxed TbErZn crystal.

Cell: 4.9778 4.9778 3.6262 Å, 90.00 90.00 120.00°
Space group P3m1 (No. 156)
Asymmetric unit:
Tb: 0.0000 0.0000 0.0000 (multiplicity 1)
Er: 0.3333 0.6667 0.4633 (multiplicity 1)
Zn: 0.6667 0.3333 0.6961 (multiplicity 1)

Output
- Energy above the lowest structure with this stoichiometry: 0.160 eV per atom
- V: 77.8 Å³/f.u.
- Crystal system: trigonal
- Final energy: -3.54 eV/atom